# 1
The following is a DFT calculation (PBE) of an optimized crystal structure of Y2Er3Tm6Sc. Values from VASP.

Results
Mass density   8.020 g cm⁻³
Total magnetic moment   0.00 μB per formula unit
Raw total energy   -4.95 eV/atom
Formation energy   3.3 kJ per mole of atoms

Quantum ESPRESSO input file:
```
&SYSTEM
  ibrav = 0, nat = 12, ntyp = 4
/
ATOMIC_SPECIES
Y 88.91 Y.upf
Er 167.26 Er.upf
Tm 168.93 Tm.upf
Sc 44.96 Sc.upf
CELL_PARAMETERS angstrom
-5.3648 2.3552 1.4522
0.3235 -4.5372 -3.9681
0.6815 -6.7887 9.3478
ATOMIC_POSITIONS angstrom
Y -1.5725 -2.2398 -2.1614
Y -3.4687 0.0578 -0.3545
Er -0.2829 -6.7838 1.6084
Er -4.0768 -2.1868 5.2235
Er -2.1799 -4.4853 3.4159
Tm -4.2203 -5.5989 6.0209
Tm -3.6209 -3.3337 0.4392
Tm -0.1394 -3.3717 0.8109
Tm -2.3404 -7.8767 4.2296
Tm -0.7388 -5.6369 6.3926
Tm -2.0193 -1.0939 2.6022
Sc 0.0000 0.0000 0.0000
```


# 2
The following is a DFT calculation (PBE) of an optimized crystal structure of Ba2VMo2. Values from VASP.

Results
Energy relative to the lowest polymorph listed for this composition   871 meV per atom
Mass density   6.205 g cm⁻³
Total magnetic moment   0.10 μB per formula unit
Raw total energy   -4.99 eV/atom
Formation energy   186.4 kJ per mole of atoms

Quantum ESPRESSO input file:
```
&SYSTEM
  ibrav = 0, nat = 10, ntyp = 3
/
ATOMIC_SPECIES
Mo 95.94 Mo.upf
Ba 137.33 Ba.upf
V 50.94 V.upf
CELL_PARAMETERS angstrom
9.5482 0.0000 0.0000
0.0000 9.5482 0.0000
0.0000 0.0000 3.0378
ATOMIC_POSITIONS angstrom
Mo 1.6566 6.4307 1.5189
Mo 6.4307 7.8916 1.5189
Mo 7.8916 3.1175 1.5189
Mo 3.1175 1.6566 1.5189
Ba 3.5014 8.2755 0.0000
Ba 8.2755 6.0468 0.0000
Ba 6.0468 1.2727 0.0000
Ba 1.2727 3.5014 0.0000
V 0.0000 0.0000 0.0000
V 4.7741 4.7741 0.0000
```


# 3
The following is a DFT calculation (PBE) of an optimized crystal structure of Sr2SbP2. Values from VASP.

Results
Energy relative to the lowest polymorph listed for this composition   0 meV per atom
E_form (uncorrected)   -725 meV per atom
Mass density   4.530 g cm⁻³
Total magnetic moment   0.00 μB per formula unit
Raw total energy   -4.39 eV/atom

Quantum ESPRESSO input file:
```
&SYSTEM
  ibrav = 0, nat = 10, ntyp = 3
/
ATOMIC_SPECIES
Sb 121.76 Sb.upf
P 30.97 P.upf
Sr 87.62 Sr.upf
CELL_PARAMETERS angstrom
7.8912 0.0000 0.0000
0.0000 7.8912 0.0000
0.0000 0.0000 4.2256
ATOMIC_POSITIONS angstrom
Sb 0.0000 0.0000 0.0000
Sb 3.9456 3.9456 0.0000
P 2.6749 6.6205 0.0000
P 6.6205 5.2163 0.0000
P 5.2163 1.2707 0.0000
P 1.2707 2.6749 0.0000
Sr 1.1847 5.1303 2.1128
Sr 5.1303 6.7066 2.1128
Sr 6.7066 2.7609 2.1128
Sr 2.7609 1.1847 2.1128
```